Entry from Alexandria: a relaxed structure of Mn4Nb5Tc (PBE).

Cell and atoms, written as CIF:
```
data_Mn4Nb5Tc
_chemical_formula_sum 'Mn4 Nb5 Tc1'
_cell_length_a 3.099
_cell_length_b 3.099
_cell_length_c 15.473
_cell_angle_alpha 90.00
_cell_angle_beta 90.00
_cell_angle_gamma 90.00
_space_group_name_H-M_alt 'P 4/m m m'
_space_group_IT_number 123
_space_group_name_Hall '-P 4 2'
loop_
_atom_site_label
_atom_site_type_symbol
_atom_site_fract_x
_atom_site_fract_y
_atom_site_fract_z
_atom_site_occupancy
Mn1 Mn 0.000 0.000 0.099 1
Mn2 Mn 0.000 0.000 0.296 1
Nb1 Nb 0.500 0.500 0.000 1
Nb2 Nb 0.500 0.500 0.197 1
Nb3 Nb 0.500 0.500 0.395 1
Tc1 Tc 0.000 0.000 0.500 1
```

Output
Theoretical density ... 8.74 g cm⁻³
Formation energy ... -0.153 eV per atom
Magnetization ... 0.000 μB/atom